A crystal of LiInCu relaxed with PBEsol, computed with meta-GGA SCAN.

## Properties
N(E_F): 1.47 states/eV per cell
Spin magnetization: 0.00 μB/cell
Energy of formation from the pure elements: -158 meV per atom

Cell: 3.2480 3.2583 8.6347 Å, 90.00 90.00 90.00°
Space group Imm2 (No. 44)
Inequivalent atoms, fractional coordinates:
Li: 0.0000 0.0000 0.0000 x2
In: 0.0000 0.0000 0.3188 x2
Cu: 0.0000 0.0000 0.6438 x2